This record from Alexandria describes a relaxed structure of Sm2BiS. The functional is PBE.

Calculated values
Formation energy from raw total energies, meV/atom: -1355.9
Magnetic moment, Bohr magnetons per cell: 0.00
Excess energy over the best structure of this formula in the dataset, kcal/mol of atoms: 1.29

The structure in POSCAR format:
```
Sm2BiS
1.0
2.101 1.213 7.339
-2.101 1.213 7.339
0.000 -2.426 7.339
Sm Bi S
2 1 1
Cartesian
0.000 0.000 0.000
0.000 0.000 4.197
0.000 0.000 9.438
0.000 0.000 13.173
```